Record 1
AgSb3H GGA-PBE optimized geometry; space-group type = Pm-3m (221); energy above the lowest structure with this stoichiometry = 0 meV/atom; DOS at the Fermi energy = 2.57 states/eV/cell; E_tot = -3.23 eV per atom
1.0
-4.277 1.947 -0.587
-1.648 -2.518 3.657
1.192 3.507 2.952
Ag Sb H
1 3 1
Direct
0.500 0.500 0.500
0.000 0.500 0.000
0.000 0.000 0.500
0.500 0.000 0.000
0.000 0.000 0.000

***

Record 2
Dy2AlSiC GGA-PBE optimized geometry; space-group type = P2_1/m (11); DOS at the Fermi energy = 3.37 states/eV/cell; E_tot = -6.02 eV per atom
1.0
-2.137 -2.931 1.223
4.526 -4.267 -2.315
2.011 1.703 7.598
Al Dy C Si
2 4 2 2
Direct
0.750 0.472 0.255
0.250 0.528 0.745
0.750 0.798 0.036
0.750 0.821 0.617
0.250 0.179 0.383
0.250 0.202 0.964
0.750 0.167 0.171
0.250 0.833 0.829
0.250 0.710 0.306
0.750 0.290 0.694

***

Record 3
NbCoN GGA-PBE optimized geometry; space-group type = P-6m2 (187); DOS at the Fermi energy = 2.42 states/eV/cell; E_tot = -8.74 eV per atom
1.0
-1.787 -2.084 -0.828
2.500 -0.663 1.238
-4.200 0.191 8.579
N Co Nb
2 2 2
Direct
0.611 0.222 0.000
0.278 0.556 0.500
0.611 0.222 0.620
0.611 0.222 0.380
0.278 0.555 0.847
0.278 0.555 0.153

***

Record 4
Pr4DyHo2 GGA-PBE optimized geometry; space-group type = P2_1/m (11); DFT formation energy = 0.125 eV/atom; energy above the lowest structure with this stoichiometry = 62 meV/atom; DOS at the Fermi energy = 20.81 states/eV/cell; E_tot = -4.57 eV per atom
1.0
-2.274 -3.083 -4.961
2.105 -5.794 2.636
-8.882 0.252 7.647
Pr Ho Dy
8 4 2
Direct
0.849 0.250 0.550
0.039 0.750 0.864
0.961 0.250 0.136
0.645 0.510 0.284
0.645 0.990 0.284
0.355 0.490 0.716
0.355 0.010 0.716
0.151 0.750 0.450
0.607 0.750 0.996
0.288 0.250 0.424
0.712 0.750 0.576
0.393 0.250 0.004
0.149 0.750 0.162
0.851 0.250 0.838

***

Record 5
SrCaInAg GGA-PBE optimized geometry; space-group type = Amm2 (38); DFT formation energy = -0.334 eV/atom; DOS at the Fermi energy = 3.31 states/eV/cell; E_tot = -2.65 eV per atom
1.0
-3.961 -1.557 0.584
1.684 -3.039 3.319
0.966 5.003 4.091
Sr In Ca Ag
1 1 1 1
Direct
0.851 0.500 0.702
0.572 0.500 0.145
0.142 0.000 0.283
0.435 0.000 0.870

***

Record 6
Rb2Tl4In3Pb GGA-PBE optimized geometry; space-group type = P-4m2 (115); DFT formation energy = -0.074 eV/atom; DOS at the Fermi energy = 4.40 states/eV/cell; E_tot = -2.41 eV per atom
1.0
-2.423 -3.865 -2.536
1.873 -3.439 3.450
-10.494 1.716 7.409
Tl Pb In Rb
4 1 3 2
Direct
0.000 0.500 0.360
0.500 0.000 0.640
0.000 0.000 0.000
0.500 0.500 0.000
0.500 0.500 0.500
0.000 0.000 0.500
0.000 0.500 0.130
0.500 0.000 0.870
0.000 0.500 0.751
0.500 0.000 0.249

***

The lowest E_tot belongs to which entry?
NbCoN